The following is a PBE calculation of crystalline DyYMnAg at its relaxed geometry, from the Alexandria database.

The structure in CIF format:
```
data_DyYMnAg
_chemical_formula_sum 'Dy1 Y1 Mn1 Ag1'
_space_group_name_H-M_alt 'P 1'
_space_group_IT_number 1
_space_group_name_Hall 'P 1'
_cell_length_a 5.101
_cell_length_b 5.101
_cell_length_c 5.101
_cell_angle_alpha 60.00
_cell_angle_beta 60.00
_cell_angle_gamma 60.00
loop_
_atom_site_label
_atom_site_type_symbol
_atom_site_fract_x
_atom_site_fract_y
_atom_site_fract_z
_atom_site_occupancy
Dy1 Dy 0.000 0.000 0.000 1
Y1 Y 0.500 0.500 0.500 1
Mn1 Mn 0.750 0.750 0.750 1
Ag1 Ag 0.250 0.250 0.250 1
```

Summary:
* formation enthalpy at 0 K: -0.008 eV/atom
* spin magnetization: 3.43 μB/cell
* crystal system: cubic
* space-group type: No. 216
* electronic total energy: -0.21240 Ha/atom